Material: WAuS2O
Method: DFT, PBE with a Hubbard U
State: optimized geometry

```
5
Lattice="5.0720 0.0000 0.0000 0.0000 5.0720 0.0000 0.0000 0.0000 3.7598" Properties=species:S:1:pos:R:3 pbc="T T T"
W 0.0000 0.0000 0.0000
Au 2.5360 2.5360 0.0000
S 0.0000 2.5360 1.8799
S 2.5360 0.0000 1.8799
O 0.0000 0.0000 1.8799
```

Properties
**Crystal system**: tetragonal


Material: FeB2PtF
Method: DFT, PBE with a Hubbard U
State: optimized geometry

```
5
Lattice="3.7791 0.0000 0.0000 0.0000 3.7791 0.0000 0.0000 0.0000 4.6751" Properties=species:S:1:pos:R:3 pbc="T T T"
Fe 0.0000 0.0000 0.0000
B 0.0000 1.8895 2.3375
B 1.8895 0.0000 2.3375
Pt 1.8895 1.8895 0.0000
F 1.8895 1.8895 2.3375
```

Properties
**Crystal system**: tetragonal


Computed total energy, in the same sequence as the records: -0.151, -0.142 hartree per atom.